Record 1
Material: AlTc2AsP
Method: DFT, SCAN
State: single point on PBEsol structure

Results
magnetization = 0.321 μB/atom
calculated formation energy = 1237 meV per atom
space group = P4/mmm (123)

Structure (extended XYZ):
```
5
Lattice="4.560 0.000 0.000 0.000 4.560 0.000 0.000 0.000 4.438" Properties=species:S:1:pos:R:3 pbc="T T T"
Al 0.000 0.000 0.000
Tc 0.000 2.280 2.219
Tc 2.280 0.000 2.219
As 2.280 2.280 2.219
P 2.280 2.280 0.000
```

---

Record 2
Material: AlTe2AsP
Method: DFT, SCAN
State: single point on PBEsol structure

Results
magnetization = 0.000 μB/atom
energy relative to the elements, uncorrected = 0.626 eV/atom
space group = P4/mmm (123)

Structure (extended XYZ):
```
5
Lattice="5.225 0.000 0.000 0.000 5.225 0.000 0.000 0.000 4.592" Properties=species:S:1:pos:R:3 pbc="T T T"
Al 0.000 0.000 0.000
Te 0.000 2.613 2.296
Te 2.613 0.000 2.296
As 2.613 2.613 0.000
P 0.000 0.000 2.296
```

---

Record 3
Material: Al2AsPb
Method: DFT, SCAN
State: single point on PBEsol structure

Results
magnetization = 0.000 μB/atom
distance to the lowest polymorph of the same formula = 5.1 meV per atom
calculated formation energy = -41 meV per atom
space group = R-3m (166)

Structure (extended XYZ):
```
4
Lattice="1.858 1.073 7.207 -1.858 1.073 7.207 0.000 -2.146 7.207" Properties=species:S:1:pos:R:3 pbc="T T T"
Al 0.000 0.000 5.060
Al 0.000 0.000 16.560
As 0.000 0.000 10.810
Pb 0.000 0.000 0.000
```

---

Record 4
Material: Al2AsPb
Method: DFT, SCAN
State: single point on PBEsol structure

Results
magnetization = 0.000 μB/atom
distance to the lowest polymorph of the same formula = 0.0 meV per atom
calculated formation energy = -46 meV per atom
space group = I-42d (122)

Structure (extended XYZ):
```
8
Lattice="-3.062 3.062 5.751 3.062 -3.062 5.751 3.062 3.062 -5.751" Properties=species:S:1:pos:R:3 pbc="T T T"
Al 4.593 1.302 -1.438
Al 1.302 1.531 1.438
Al -1.531 1.760 4.314
Al 1.760 1.531 7.189
As 0.000 0.000 0.000
As 0.000 3.062 2.876
Pb 3.062 0.000 2.876
Pb 0.000 0.000 5.751
```

---

Record 5
Material: Al2AsPb
Method: DFT, SCAN
State: single point on PBEsol structure

Results
magnetization = 0.000 μB/atom
distance to the lowest polymorph of the same formula = 43.3 meV per atom
calculated formation energy = -2 meV per atom
space group = Pmm2 (25)

Structure (extended XYZ):
```
4
Lattice="3.829 0.000 0.000 0.000 4.040 0.000 0.000 0.000 6.138" Properties=species:S:1:pos:R:3 pbc="T T T"
Al 0.000 0.000 0.000
Al 1.914 2.020 0.130
As 1.914 0.000 1.724
Pb 0.000 2.020 3.970
```

---

Record 6
Material: AlAsPb2
Method: DFT, SCAN
State: single point on PBEsol structure

Results
magnetization = 0.000 μB/atom
calculated formation energy = 302 meV per atom
space group = I4/mmm (139)

Structure (extended XYZ):
```
4
Lattice="-2.363 2.363 4.363 2.363 -2.363 4.363 2.363 2.363 -4.363" Properties=species:S:1:pos:R:3 pbc="T T T"
Al 0.000 0.000 0.000
As 0.000 0.000 4.363
Pb 2.363 0.000 2.182
Pb 0.000 2.363 2.182
```

---

Record 7
Material: Al2AsPb
Method: DFT, SCAN
State: single point on PBEsol structure

Results
magnetization = 0.000 μB/atom
distance to the lowest polymorph of the same formula = 63.7 meV per atom
calculated formation energy = 18 meV per atom
space group = P4mm (99)

Structure (extended XYZ):
```
4
Lattice="3.587 0.000 0.000 0.000 3.587 0.000 0.000 0.000 6.749" Properties=species:S:1:pos:R:3 pbc="T T T"
Al 0.000 0.000 0.000
Al 1.794 1.794 1.682
As 0.000 0.000 2.468
Pb 1.794 1.794 5.139
```

---

Record 8
Material: Al2AsPb
Method: DFT, SCAN
State: single point on PBEsol structure

Results
magnetization = 0.000 μB/atom
distance to the lowest polymorph of the same formula = 266.0 meV per atom
calculated formation energy = 220 meV per atom
space group = Imm2 (44)

Structure (extended XYZ):
```
4
Lattice="-1.792 2.423 4.834 1.792 -2.423 4.834 1.792 2.423 -4.834" Properties=species:S:1:pos:R:3 pbc="T T T"
Al 0.000 0.000 0.000
Al 0.000 2.423 2.406
As 0.000 0.000 5.394
Pb 1.792 0.000 2.747
```

---

Record 9
Material: Al2AsPb
Method: DFT, SCAN
State: single point on PBEsol structure

Results
magnetization = 0.000 μB/atom
distance to the lowest polymorph of the same formula = 185.8 meV per atom
calculated formation energy = 140 meV per atom
space group = Cm (8)

Structure (extended XYZ):
```
4
Lattice="4.378 -1.808 0.000 4.378 1.808 0.000 -1.451 0.000 5.540" Properties=species:S:1:pos:R:3 pbc="T T T"
Al 0.000 0.000 0.000
Al 6.240 0.000 1.127
As 3.655 0.000 1.846
Pb 1.025 0.000 3.889
```

---

Record 10
Material: Al2AsPb
Method: DFT, SCAN
State: single point on PBEsol structure

Results
magnetization = 0.000 μB/atom
distance to the lowest polymorph of the same formula = 238.0 meV per atom
calculated formation energy = 192 meV per atom
space group = Cmm2 (35)

Structure (extended XYZ):
```
4
Lattice="2.178 -2.189 0.000 2.178 2.189 0.000 0.000 0.000 8.694" Properties=species:S:1:pos:R:3 pbc="T T T"
Al 0.000 0.000 0.000
Al 2.178 0.000 1.809
As 2.178 0.000 7.036
Pb 0.000 0.000 4.335
```

---

Record 11
Material: Al2AsPt
Method: DFT, SCAN
State: single point on PBEsol structure

Results
magnetization = 0.000 μB/atom
calculated formation energy = -367 meV per atom
space group = P4/mmm (123)

Structure (extended XYZ):
```
4
Lattice="4.243 0.000 0.000 0.000 4.243 0.000 0.000 0.000 3.493" Properties=species:S:1:pos:R:3 pbc="T T T"
Al 0.000 2.122 0.000
Al 2.122 0.000 0.000
As 0.000 0.000 1.747
Pt 2.122 2.122 1.747
```

---

Record 12
Material: AlAs2Pt
Method: DFT, SCAN
State: single point on PBEsol structure

Results
magnetization = 0.000 μB/atom
calculated formation energy = -121 meV per atom
space group = Imm2 (44)

Structure (extended XYZ):
```
4
Lattice="-1.378 2.546 4.882 1.378 -2.546 4.882 1.378 2.546 -4.882" Properties=species:S:1:pos:R:3 pbc="T T T"
Al 0.000 0.000 0.000
As 1.378 0.000 2.363
As 0.000 0.000 5.377
Pt 0.000 2.546 2.741
```

---

Record 13
Material: Al2AsPt
Method: DFT, SCAN
State: single point on PBEsol structure

Results
magnetization = 0.000 μB/atom
calculated formation energy = -484 meV per atom
space group = P4mm (99)

Structure (extended XYZ):
```
4
Lattice="3.542 0.000 0.000 0.000 3.542 0.000 0.000 0.000 5.301" Properties=species:S:1:pos:R:3 pbc="T T T"
Al 0.000 0.000 0.000
Al 1.771 1.771 1.895
As 0.000 0.000 2.630
Pt 1.771 1.771 4.729
```

---

Record 14
Material: Al2AsPt
Method: DFT, SCAN
State: single point on PBEsol structure

Results
magnetization = 0.000 μB/atom
calculated formation energy = -281 meV per atom
space group = P4mm (99)

Structure (extended XYZ):
```
4
Lattice="2.891 0.000 0.000 0.000 2.891 0.000 0.000 0.000 7.640" Properties=species:S:1:pos:R:3 pbc="T T T"
Al 0.000 0.000 0.000
Al 1.446 1.446 1.957
As 0.000 0.000 4.022
Pt 1.446 1.446 6.038
```

---

Record 15
Material: AlAsPt5
Method: DFT, SCAN
State: single point on PBEsol structure

Results
magnetization = 0.000 μB/atom
calculated formation energy = -634 meV per atom
space group = P4/mmm (123)

Structure (extended XYZ):
```
7
Lattice="3.933 0.000 0.000 0.000 3.933 0.000 0.000 0.000 6.963" Properties=species:S:1:pos:R:3 pbc="T T T"
Al 0.000 0.000 0.000
As 1.967 1.967 3.481
Pt 0.000 1.967 1.903
Pt 0.000 1.967 5.059
Pt 1.967 0.000 1.903
Pt 1.967 0.000 5.059
Pt 1.967 1.967 0.000
```